[1]
An optimized crystal structure of Lu3Ga5Se12, computed with PBE-GGA.

Geometry as extended XYZ:
```
80
Lattice="-12.217 -2.107 5.743 9.803 -4.607 8.327 1.772 13.374 -2.158" Properties=species:S:1:pos:R:3 pbc="T T T"
Lu -5.265 -1.636 7.160
Lu -3.116 -3.627 11.001
Lu 3.879 4.113 7.050
Lu -1.164 3.913 1.667
Lu -9.021 0.924 5.527
Lu 1.989 -0.326 6.819
Lu -2.630 6.986 5.093
Lu 8.380 5.736 6.386
Lu 0.523 2.747 10.245
Lu -4.520 2.547 4.862
Lu 2.474 10.287 0.911
Lu 4.623 8.296 4.752
Ga 2.592 1.352 3.301
Ga 4.901 -2.304 4.164
Ga 0.000 0.000 0.000
Ga -1.909 -0.270 3.966
Ga -5.222 5.634 1.792
Ga -1.207 -3.357 7.035
Ga 6.490 1.296 6.154
Ga -6.386 9.546 3.460
Ga -2.371 0.556 8.703
Ga -2.027 8.665 1.576
Ga 1.385 -2.005 10.336
Ga -0.321 3.330 5.956
Ga -6.108 -1.053 2.872
Ga 0.886 6.687 -1.079
Ga 1.730 6.104 3.210
Ga 5.745 -2.886 8.453
Ga 5.788 4.383 3.084
Ga -7.131 5.364 5.758
Ga 1.267 6.930 7.946
Ga -3.234 5.308 8.611
Se -7.393 -1.588 5.077
Se 2.031 2.322 5.455
Se -7.599 0.095 8.009
Se -4.253 -0.407 4.585
Se 1.035 4.515 7.841
Se -5.663 -2.400 10.063
Se 4.485 1.236 7.523
Se 8.092 -2.697 7.859
Se 3.423 3.356 9.946
Se -2.661 -1.852 8.591
Se -4.421 1.191 7.568
Se -1.087 -5.428 12.232
Se 6.383 3.635 5.510
Se -0.380 -1.532 5.368
Se 8.537 0.608 7.264
Se -2.769 6.431 2.170
Se 1.055 1.860 1.492
Se 1.131 -2.881 8.086
Se -0.598 -2.113 11.733
Se 2.665 -0.974 3.991
Se 6.281 5.307 8.455
Se -0.322 1.411 7.721
Se -2.080 1.473 10.932
Se -4.812 9.079 5.249
Se -0.320 5.249 4.192
Se 1.439 5.187 0.980
Se 4.171 -2.419 6.664
Se -0.043 8.773 0.180
Se -6.922 1.353 3.457
Se -3.307 7.634 7.921
Se -1.773 9.541 3.826
Se 2.127 0.229 9.742
Se -1.696 4.800 10.421
Se -9.178 6.052 4.649
Se -7.024 3.025 6.402
Se 0.445 12.088 -0.320
Se -0.262 8.192 6.544
Se -4.065 3.304 1.966
Se 2.020 8.513 3.322
Se 3.780 5.469 4.345
Se -8.733 9.357 4.054
Se -5.127 5.424 4.389
Se 3.611 7.067 7.327
Se 5.021 9.060 1.849
Se -1.677 2.145 4.071
Se 6.958 6.565 3.903
Se -2.672 4.338 6.457
Se 6.751 8.248 6.836
```

## Properties
total magnetization	0.0	μB/f.u.
V	1963.3	Å³/cell
symmetry	Ia-3d
calculated density	6.16	g cm⁻³
DFT total energy	-4.479	eV per atom

[2]
An optimized crystal structure of LuGa2Si, computed with PBE-GGA.

Geometry as extended XYZ:
```
4
Lattice="-0.661 4.150 -0.925 -1.558 2.653 3.009 3.772 3.304 2.117" Properties=species:S:1:pos:R:3 pbc="T T T"
Si 0.000 0.000 0.000
Lu 0.777 5.054 2.101
Ga 1.567 7.673 3.278
Ga -0.014 2.434 0.923
```

## Properties
total magnetization	0.0	μB/f.u.
V	77.7	Å³/cell
density of states at the Fermi level	3.04	states/eV per cell
ΔE to the lowest computed polymorph	0.219	eV/atom
symmetry	R-3m
calculated density	7.32	g cm⁻³

[3]
An optimized crystal structure of LuGa2Si, computed with PBE-GGA.

Geometry as extended XYZ:
```
4
Lattice="-1.267 -2.158 3.425 3.784 -1.626 0.375 1.122 3.168 2.411" Properties=species:S:1:pos:R:3 pbc="T T T"
Si -0.633 -1.079 1.713
Lu 1.820 -0.308 3.106
Ga 0.561 1.584 1.205
Ga 1.892 -0.813 0.188
```

## Properties
total magnetization	0.0	μB/f.u.
V	72.6	Å³/cell
density of states at the Fermi level	1.49	states/eV per cell
ΔE to the lowest computed polymorph	0.000	eV/atom
symmetry	P4/mmm
calculated density	7.84	g cm⁻³

[4]
An optimized crystal structure of Lu2GaSi, computed with PBE-GGA.

Geometry as extended XYZ:
```
4
Lattice="3.891 0.000 0.000 0.000 4.623 0.000 0.000 0.000 4.623" Properties=species:S:1:pos:R:3 pbc="T T T"
Si 1.945 0.000 0.000
Lu 0.000 0.000 2.311
Lu 0.000 2.311 0.000
Ga 1.945 2.311 2.311
```

## Properties
total magnetization	0.0	μB/f.u.
V	83.1	Å³/cell
density of states at the Fermi level	1.70	states/eV per cell
symmetry	P4/mmm
calculated density	8.94	g cm⁻³
DFT total energy	-4.878	eV per atom

[5]
An optimized crystal structure of SmLu2Ga, computed with PBE-GGA.

Geometry as extended XYZ:
```
4
Lattice="-1.430 -1.027 -2.956 1.989 -1.106 -2.580 -0.489 -11.124 2.099" Properties=species:S:1:pos:R:3 pbc="T T T"
Lu -0.281 -7.921 0.886
Lu 0.351 -5.337 -4.323
Ga 0.035 -6.629 -1.719
Sm 0.000 0.000 0.000
```

## Properties
total magnetization	0.0	μB/f.u.
V	114.4	Å³/cell
density of states at the Fermi level	5.75	states/eV per cell
ΔE to the lowest computed polymorph	0.283	eV/atom
symmetry	R-3m
calculated density	8.28	g cm⁻³
formation energy from the elements	-0.010	eV/atom

[6]
An optimized crystal structure of Sm2LuGa, computed with PBE-GGA.

Geometry as extended XYZ:
```
4
Lattice="-2.376 -1.656 -3.804 -2.914 -2.399 2.864 -2.901 3.741 0.182" Properties=species:S:1:pos:R:3 pbc="T T T"
Lu -4.095 -0.157 -0.379
Sm -1.450 1.871 0.091
Sm -1.457 -1.199 1.432
Ga -1.188 -0.828 -1.902
```

## Properties
total magnetization	0.0	μB/f.u.
V	107.3	Å³/cell
density of states at the Fermi level	4.98	states/eV per cell
ΔE to the lowest computed polymorph	0.003	eV/atom
symmetry	P4/mmm
calculated density	8.44	g cm⁻³
formation energy from the elements	-0.233	eV/atom

[7]
An optimized crystal structure of SmLuGa2, computed with PBE-GGA.

Geometry as extended XYZ:
```
4
Lattice="-3.332 -3.664 -1.014 0.920 -4.739 1.500 -2.726 -2.043 3.735" Properties=species:S:1:pos:R:3 pbc="T T T"
Lu 0.000 0.000 0.000
Ga -1.284 -2.611 1.055
Ga -3.853 -7.834 3.166
Sm -2.569 -5.223 2.110
```

## Properties
total magnetization	0.0	μB/f.u.
V	91.3	Å³/cell
density of states at the Fermi level	1.00	states/eV per cell
ΔE to the lowest computed polymorph	0.010	eV/atom
symmetry	Fm-3m
calculated density	8.45	g cm⁻³
formation energy from the elements	-0.559	eV/atom

[8]
An optimized crystal structure of Sm2LuGa, computed with PBE-GGA.

Geometry as extended XYZ:
```
4
Lattice="5.355 0.000 0.000 2.677 4.638 0.000 2.677 1.546 4.372" Properties=species:S:1:pos:R:3 pbc="T T T"
Lu 0.000 0.000 0.000
Ga 5.355 3.092 2.186
Sm 2.677 1.546 1.093
Sm 8.032 4.638 3.279
```

## Properties
total magnetization	0.0	μB/f.u.
V	108.6	Å³/cell
density of states at the Fermi level	6.51	states/eV per cell
ΔE to the lowest computed polymorph	0.120	eV/atom
symmetry	Fm-3m
calculated density	8.34	g cm⁻³
formation energy from the elements	-0.116	eV/atom

[9]
An optimized crystal structure of SmLuGa2, computed with PBE-GGA.

Geometry as extended XYZ:
```
4
Lattice="3.637 0.000 0.000 1.819 3.150 0.000 1.819 1.050 8.743" Properties=species:S:1:pos:R:3 pbc="T T T"
Lu 0.000 0.000 0.000
Ga 5.456 3.150 6.634
Ga 1.819 1.050 2.110
Sm 3.637 2.100 4.372
```

## Properties
total magnetization	0.0	μB/f.u.
V	100.2	Å³/cell
density of states at the Fermi level	2.06	states/eV per cell
ΔE to the lowest computed polymorph	0.175	eV/atom
symmetry	R-3m
calculated density	7.70	g cm⁻³
formation energy from the elements	-0.394	eV/atom

[10]
An optimized crystal structure of Sm2LuGa, computed with PBE-GGA.

Geometry as extended XYZ:
```
4
Lattice="3.562 0.000 0.000 0.000 3.562 0.000 0.000 0.000 8.931" Properties=species:S:1:pos:R:3 pbc="T T T"
Lu 1.781 1.781 4.465
Ga 1.781 1.781 0.000
Sm 0.000 0.000 7.027
Sm 0.000 0.000 1.903
```

## Properties
total magnetization	0.0	μB/f.u.
V	113.3	Å³/cell
density of states at the Fermi level	4.84	states/eV per cell
ΔE to the lowest computed polymorph	0.000	eV/atom
symmetry	P4/mmm
calculated density	7.99	g cm⁻³
formation energy from the elements	-0.236	eV/atom

[11]
An optimized crystal structure of SmLu2Ga, computed with PBE-GGA.

Geometry as extended XYZ:
```
4
Lattice="4.681 0.000 0.000 0.000 4.698 0.000 0.000 0.000 4.698" Properties=species:S:1:pos:R:3 pbc="T T T"
Lu 0.000 0.000 2.349
Lu 0.000 2.349 0.000
Sm 2.341 2.349 2.349
Ga 2.341 0.000 0.000
```

## Properties
total magnetization	0.0	μB/f.u.
V	103.3	Å³/cell
density of states at the Fermi level	4.80	states/eV per cell
ΔE to the lowest computed polymorph	0.062	eV/atom
symmetry	P4/mmm
calculated density	9.16	g cm⁻³
formation energy from the elements	-0.230	eV/atom

[12]
An optimized crystal structure of SmLu2Ga, computed with PBE-GGA.

Geometry as extended XYZ:
```
4
Lattice="3.485 0.000 0.000 0.000 3.485 0.000 0.000 0.000 8.770" Properties=species:S:1:pos:R:3 pbc="T T T"
Lu 0.000 0.000 6.961
Lu 0.000 0.000 1.808
Sm 1.743 1.743 4.385
Ga 1.743 1.743 0.000
```

## Properties
total magnetization	0.0	μB/f.u.
V	106.5	Å³/cell
density of states at the Fermi level	3.30	states/eV per cell
ΔE to the lowest computed polymorph	0.000	eV/atom
symmetry	P4/mmm
calculated density	8.89	g cm⁻³
formation energy from the elements	-0.292	eV/atom

[13]
An optimized crystal structure of SmLuGa2, computed with PBE-GGA.

Geometry as extended XYZ:
```
4
Lattice="-1.212 1.445 3.038 -2.049 -2.878 0.552 5.320 -3.098 3.595" Properties=species:S:1:pos:R:3 pbc="T T T"
Lu -1.630 -0.717 1.795
Ga 4.082 -2.377 2.759
Ga 1.237 -0.721 0.836
Sm 1.030 -2.266 3.593
```

## Properties
total magnetization	0.0	μB/f.u.
V	91.2	Å³/cell
density of states at the Fermi level	1.89	states/eV per cell
ΔE to the lowest computed polymorph	0.000	eV/atom
symmetry	P4/mmm
calculated density	8.47	g cm⁻³
formation energy from the elements	-0.569	eV/atom

[14]
An optimized crystal structure of SmLuGaTc, computed with PBE-GGA.

Geometry as extended XYZ:
```
4
Lattice="4.952 0.000 0.000 2.476 4.289 0.000 2.476 1.430 4.044" Properties=species:S:1:pos:R:3 pbc="T T T"
Ga 2.476 1.430 1.011
Lu 0.000 0.000 0.000
Tc 7.429 4.289 3.033
Sm 4.952 2.859 2.022
```

## Properties
total magnetization	0.0	μB/f.u.
V	85.9	Å³/cell
density of states at the Fermi level	3.30	states/eV per cell
symmetry	F-43m
calculated density	9.53	g cm⁻³
formation energy from the elements	-0.207	eV/atom

[15]
An optimized crystal structure of SmLuTlGa, computed with PBE-GGA.

Geometry as extended XYZ:
```
4
Lattice="-0.950 1.820 -4.810 -4.343 -1.442 -2.531 -3.845 3.459 -0.775" Properties=species:S:1:pos:R:3 pbc="T T T"
Tl -6.854 2.877 -6.088
Lu 0.000 0.000 0.000
Sm -4.569 1.918 -4.058
Ga -2.285 0.959 -2.029
```

## Properties
total magnetization	0.0	μB/f.u.
V	101.1	Å³/cell
density of states at the Fermi level	1.53	states/eV per cell
symmetry	F-43m
calculated density	9.84	g cm⁻³
formation energy from the elements	-0.404	eV/atom

[16]
An optimized crystal structure of SmYLuGa, computed with PBE-GGA.

Geometry as extended XYZ:
```
4
Lattice="-1.623 4.323 2.658 1.470 0.718 5.071 3.491 3.828 1.245" Properties=species:S:1:pos:R:3 pbc="T T T"
Y 2.504 6.651 6.731
Lu 1.669 4.434 4.487
Sm 0.835 2.217 2.244
Ga 0.000 0.000 0.000
```

## Properties
total magnetization	0.4	μB/f.u.
V	107.0	Å³/cell
density of states at the Fermi level	6.39	states/eV per cell
symmetry	F-43m
calculated density	7.51	g cm⁻³
formation energy from the elements	-0.114	eV/atom

[17]
An optimized crystal structure of SmLuZnGa, computed with PBE-GGA.

Geometry as extended XYZ:
```
4
Lattice="5.056 0.000 0.000 2.528 4.379 0.000 2.528 1.460 4.128" Properties=species:S:1:pos:R:3 pbc="T T T"
Zn 7.584 4.379 3.096
Lu 0.000 0.000 0.000
Ga 2.528 1.460 1.032
Sm 5.056 2.919 2.064
```

## Properties
total magnetization	0.0	μB/f.u.
V	91.4	Å³/cell
density of states at the Fermi level	3.14	states/eV per cell
symmetry	F-43m
calculated density	8.37	g cm⁻³
formation energy from the elements	-0.457	eV/atom

[18]
An optimized crystal structure of LuGaSn2, computed with PBE-GGA.

Geometry as extended XYZ:
```
4
Lattice="-1.538 0.898 -4.336 0.999 -4.194 -1.223 -4.114 -1.325 1.185" Properties=species:S:1:pos:R:3 pbc="T T T"
Lu -2.326 -2.311 -2.187
Sn -2.057 -0.663 0.592
Sn 0.499 -2.097 -0.612
Ga -0.769 0.449 -2.168
```

## Properties
total magnetization	0.0	μB/f.u.
V	94.1	Å³/cell
density of states at the Fermi level	1.57	states/eV per cell
ΔE to the lowest computed polymorph	0.000	eV/atom
symmetry	P4/mmm
calculated density	8.50	g cm⁻³
formation energy from the elements	-0.374	eV/atom

[19]
An optimized crystal structure of LuGa4Sn, computed with PBE-GGA.

Geometry as extended XYZ:
```
6
Lattice="5.550 0.000 0.000 2.775 4.806 0.000 2.775 1.602 4.531" Properties=species:S:1:pos:R:3 pbc="T T T"
Lu 2.775 1.602 1.133
Sn 0.000 0.000 0.000
Ga 5.550 3.204 0.570
Ga 5.550 1.605 2.831
Ga 6.934 4.004 2.831
Ga 4.165 4.004 2.831
```

## Properties
total magnetization	0.0	μB/f.u.
V	120.9	Å³/cell
density of states at the Fermi level	3.04	states/eV per cell
symmetry	F-43m
calculated density	7.87	g cm⁻³
formation energy from the elements	-0.198	eV/atom

[20]
An optimized crystal structure of Lu2GaSn, computed with PBE-GGA.

Geometry as extended XYZ:
```
4
Lattice="4.172 0.000 0.000 0.000 4.752 0.000 0.000 0.000 4.752" Properties=species:S:1:pos:R:3 pbc="T T T"
Lu 0.000 0.000 2.376
Lu 0.000 2.376 0.000
Sn 2.086 0.000 0.000
Ga 2.086 2.376 2.376
```

## Properties
total magnetization	0.0	μB/f.u.
V	94.2	Å³/cell
density of states at the Fermi level	2.14	states/eV per cell
symmetry	P4/mmm
calculated density	9.49	g cm⁻³
formation energy from the elements	-0.525	eV/atom